# Pu5Hg, relaxed, DFT PBE
# Density ... 17.35 g cm⁻³
# M_tot ... 6.0 μB/cell
# Raw total energy ... -71.02 eV for the cell shown
data_Pu5Hg
_cell_length_a 7.8483
_cell_length_b 7.8483
_cell_length_c 3.4028
_cell_angle_alpha 90.00
_cell_angle_beta 90.00
_cell_angle_gamma 139.56
_symmetry_space_group_name_H-M 'P 1'
_symmetry_Int_Tables_number 1
_symmetry_space_group_name_Hall 'P 1'
loop_
_atom_site_label
_atom_site_type_symbol
_atom_site_fract_x
_atom_site_fract_y
_atom_site_fract_z
_atom_site_occupancy
Pu1 Pu 0.0000 0.0000 0.0000 1
Pu2 Pu 0.1907 0.8093 0.5000 1
Pu3 Pu 0.3185 0.6815 0.0000 1
Pu4 Pu 0.6815 0.3185 0.0000 1
Pu5 Pu 0.8093 0.1907 0.5000 1
Hg1 Hg 0.5000 0.5000 0.5000 1